The following is a DFT calculation (PBE-GGA) of a geometry-optimized AcPm2Dy3Y6 structure.

```
AcPm2Dy3Y6
1.0
3.1346 -5.4259 0.0000
3.1346 5.4259 0.0000
-2.0818 0.0000 11.7302
Ac Pm Dy Y
1 2 3 6
Cartesian
0.0000 0.0000 0.0000
3.1346 1.8079 0.0000
3.1346 -1.8079 0.0000
2.0937 3.6151 5.8651
2.0937 0.0000 5.8651
2.0937 -3.6151 5.8651
1.0558 1.8197 2.9959
0.0177 0.0000 8.7321
1.0558 -1.8197 2.9959
3.1316 1.8197 8.7343
4.1697 0.0000 2.9981
3.1316 -1.8197 8.7343
```


The following is a DFT calculation (PBE-GGA) of a geometry-optimized AcPmDyY structure.

```
AcPmDyY
1.0
0.0000 4.1537 4.1537
4.1537 0.0000 4.1537
4.1537 4.1537 0.0000
Ac Pm Dy Y
1 1 1 1
Cartesian
0.0000 0.0000 0.0000
4.1537 4.1537 4.1537
2.0769 2.0769 2.0769
6.2306 6.2306 6.2306
```

Calculated values
* polymorph energy (0 for the lowest one): 0.0 meV/atom


The following is a DFT calculation (PBE-GGA) of a geometry-optimized Ac2Pm5DyY structure.

```
Ac2Pm5DyY
1.0
2.9128 -10.3421 0.0000
2.9128 10.3421 0.0000
0.0000 0.0000 10.9467
Ac Pm Dy Y
4 10 2 2
Cartesian
2.9128 8.0116 5.4733
2.9128 7.9230 0.9172
2.9128 -7.9230 6.3905
2.9128 -8.0116 0.0000
2.9128 9.9602 8.6295
2.9128 4.5281 0.8248
2.9128 4.2294 5.1333
2.9128 2.3081 8.6274
2.9128 0.3582 5.5772
2.9128 -0.3582 0.1039
2.9128 -2.3081 3.1541
2.9128 -4.2294 10.6066
2.9128 -4.5281 6.2982
2.9128 -9.9602 3.1562
2.9128 6.0966 8.4931
2.9128 -6.0966 3.0198
2.9128 1.9107 2.5527
2.9128 -1.9107 8.0260
```


The following is a DFT calculation (PBE-GGA) of a geometry-optimized AcPmDy2Y structure.

```
AcPmDy2Y
1.0
4.2491 -5.9649 0.0000
4.2491 5.9649 0.0000
0.0000 0.0000 7.3509
Ac Pm Dy Y
2 2 4 2
Cartesian
4.2491 3.1422 5.5132
4.2491 -3.1422 1.8377
4.2491 0.1389 1.8377
4.2491 -0.1389 5.5132
1.5977 0.0000 0.0000
1.5977 0.0000 3.6754
6.9005 0.0000 0.0000
6.9005 0.0000 3.6754
4.2491 3.4395 1.8377
4.2491 -3.4395 5.5132
```


The following is a DFT calculation (PBE-GGA) of a geometry-optimized Ac5Pm2DyY structure.

```
Ac5Pm2DyY
1.0
2.9079 -11.3300 0.0000
2.9079 11.3300 0.0000
0.0000 0.0000 11.0960
Ac Pm Dy Y
10 4 2 2
Cartesian
0.0000 0.0000 0.0000
0.0000 0.0000 5.5480
2.9079 8.3817 8.3220
2.9079 6.3818 0.7039
2.9079 6.3818 4.8441
2.9079 0.0484 8.3220
2.9079 -0.0484 2.7740
2.9079 -6.3818 6.2519
2.9079 -6.3818 10.3921
2.9079 -8.3817 2.7740
2.9079 2.5698 0.0487
2.9079 2.5698 5.4993
2.9079 -2.5698 5.5967
2.9079 -2.5698 11.0473
2.9079 4.4785 8.3220
2.9079 -4.4785 2.7740
2.9079 9.0904 2.7740
2.9079 -9.0904 8.3220
```


The following is a DFT calculation (PBE-GGA) of a geometry-optimized Ac2PmDyY5 structure.

```
Ac2PmDyY5
1.0
2.9068 -10.1252 0.0000
2.9068 10.1252 0.0000
0.0000 0.0000 10.9929
Ac Pm Dy Y
4 2 2 10
Cartesian
2.9068 7.8915 5.4964
2.9068 7.7582 0.9818
2.9068 -7.7582 6.4783
2.9068 -7.8915 0.0000
2.9068 5.9816 8.5334
2.9068 -5.9816 3.0370
2.9068 1.7182 2.5096
2.9068 -1.7182 8.0061
2.9068 9.7225 8.7315
2.9068 4.3420 0.7593
2.9068 4.0821 5.1522
2.9068 2.1193 8.6854
2.9068 0.4316 5.5477
2.9068 -0.4316 0.0512
2.9068 -2.1193 3.1889
2.9068 -4.0821 10.6486
2.9068 -4.3420 6.2557
2.9068 -9.7225 3.2351
```


Number 1: energy of formation from the pure elements 0.028 eV per atom, final energy -5.489 eV per atom. Number 2: energy of formation from the pure elements 0.111 eV per atom, final energy -4.870 eV per atom. Number 3: energy of formation from the pure elements 0.140 eV per atom, final energy -4.641 eV per atom. Number 4: energy of formation from the pure elements 0.352 eV per atom, final energy -4.553 eV per atom. Number 5: energy of formation from the pure elements 0.139 eV per atom, final energy -4.429 eV per atom. Number 6: energy of formation from the pure elements 0.150 eV per atom, final energy -5.393 eV per atom.